(1)
The following is a GGA-PBE calculation of crystalline Sm2Dy5Tm5 at its relaxed geometry, from Alexandria.

Lattice parameters (Å, degrees): 7.899 7.899 11.174 115.09 115.09 36.84
Atoms (fractional coordinates):
Sm (0.083, 0.083, 0.249)
Sm (0.917, 0.917, 0.751)
Dy (0.334, 0.334, 0.500)
Dy (0.415, 0.415, 0.249)
Dy (0.500, 0.500, 0.000)
Dy (0.585, 0.585, 0.751)
Dy (0.666, 0.666, 0.500)
Tm (0.000, 0.000, 0.500)
Tm (0.168, 0.168, 0.000)
Tm (0.249, 0.249, 0.750)
Tm (0.751, 0.751, 0.250)
Tm (0.832, 0.832, 0.000)



(2)
The following is a GGA-PBE calculation of crystalline CuMoPd at its relaxed geometry, from Alexandria.

energy above the most stable polymorph in this dataset: 89 meV per atom

Lattice parameters (Å, degrees): 2.754 2.754 6.659 90.00 90.00 120.00
Atoms (fractional coordinates):
Cu (0.000, 0.000, 0.000)
Mo (0.333, 0.667, 0.669)
Pd (0.667, 0.333, 0.328)



Which calculated formation energy belongs to each record? In order, 0.26, 0.38 eV/f.u..